# 1
VASP calculation (PBE) on a relaxed CeSi3Au3 crystal.

The energy relative to the elements, uncorrected is -73 kJ/mol of formula units.

The structure belongs to space group Pm-3n (No. 223); the cell edges are 6.825, 6.825 and 6.825 Å and the angles 90.00°, 90.00° and 90.00°. The inequivalent atoms are Ce at (0.000, 0.000, 0.000), Si at (0.000, 0.250, 0.500) and Au at (0.000, 0.500, 0.250).


# 2
VASP calculation (PBE) on a relaxed MgMo2Pt crystal.

The formation energy comes out at -0.0882 eV/atom.

The structure belongs to space group Cmm2 (No. 35); the cell edges are 3.468, 4.288 and 8.705 Å and the angles 90.00°, 90.00° and 90.00°. The inequivalent atoms are Mg at (0.000, 0.000, 0.000), Mo at (0.000, 0.000, 0.523), Mo at (0.000, 0.500, 0.271) and Pt at (0.000, 0.500, 0.761).